Entry from Alexandria via LeMat-Bulk: crystalline NaZr2Nb3N6 at its relaxed geometry (PBE).

a b c (Å): 3.1992 6.3895 7.1674
angles (deg): 104.19 102.90 90.00
With the nearest neighbours (Å) after each atom.
Element x y z (fractional)
1 Zr 0.1590 0.3261 0.3179  6 N 2.17-2.34
2 N 0.9988 0.2585 0.9976  3 Nb 2.11-2.22, 1 Zr 2.17, 2 Na 2.30
3 Na 0.5000 0.0000 0.0000  6 N 2.30-2.35
4 N 0.3268 0.9231 0.6536  3 Nb 2.28-2.30, 2 Zr 2.30, 1 Na 2.35
5 Nb 0.5000 0.5000 0.0000  6 N 2.22-2.28
6 Nb 0.1571 0.8168 0.3142  6 N 2.11-2.30
7 N 0.6732 0.0769 0.3464  3 Nb 2.28-2.30, 2 Zr 2.30, 1 Na 2.35
8 Nb 0.8429 0.1832 0.6858  6 N 2.11-2.30
9 N 0.3318 0.4168 0.6636  3 Nb 2.22-2.28, 3 Zr 2.27-2.34
10 N 0.0012 0.7415 0.0024  3 Nb 2.11-2.22, 1 Zr 2.17, 2 Na 2.30
11 N 0.6682 0.5832 0.3364  3 Nb 2.22-2.28, 3 Zr 2.27-2.34
12 Zr 0.8410 0.6739 0.6821  6 N 2.17-2.34

Properties
Mass density, g cm⁻³: 6.83
SG: No. 12
ΔE_f (raw), eV per formula unit: -13.65



Entry from Alexandria via LeMat-Bulk: crystalline GaCuS2Cl at its relaxed geometry (PBE).

a b c (Å): 4.4698 4.4698 5.3606
angles (deg): 90.00 90.00 90.00
With the nearest neighbours (Å) after each atom.
Element x y z (fractional)
1 S 0.0000 0.5000 0.0000  2 Cu 2.23
2 Cu 0.0000 0.0000 0.0000  4 S 2.23
3 Ga 0.5000 0.5000 0.5000  4 Cl 3.16, 8 S 3.49
4 Cl 0.0000 0.0000 0.5000  2 Cu 2.68
5 S 0.5000 0.0000 0.0000  2 Cu 2.23

Properties
Mass density, g cm⁻³: 3.61
Energy relative to the lowest polymorph listed for this composition, meV per atom: 0
SG: No. 123
ΔE_f (raw), eV per formula unit: 0.84



Entry from Alexandria via LeMat-Bulk: crystalline Re2RuRh at its relaxed geometry (PBE).

a b c (Å): 3.2458 3.2458 5.6038
angles (deg): 90.00 90.00 90.00
With the nearest neighbours (Å) after each atom.
Element x y z (fractional)
1 Ru 0.5000 0.5000 0.7463  4 Rh 2.68, 6 Re 2.69-2.87
2 Rh 0.0000 0.0000 0.5010  6 Re 2.67-2.84, 4 Ru 2.68
3 Re 0.0000 0.0000 0.9950  4 Ru 2.69, 4 Re 2.73, 2 Rh 2.77-2.84
4 Re 0.5000 0.5000 0.2578  4 Rh 2.67, 4 Re 2.73, 2 Ru 2.74-2.87

Properties
Mass density, g cm⁻³: 16.21
Energy relative to the lowest polymorph listed for this composition, meV per atom: 448
SG: No. 99
ΔH_f (0 K), eV/f.u.: 1.20



Entry from Alexandria via LeMat-Bulk: crystalline Sc2HgSe at its relaxed geometry (PBE).

a b c (Å): 4.9234 4.9234 4.9234
angles (deg): 60.00 60.00 60.00
With the nearest neighbours (Å) after each atom.
Element x y z (fractional)
1 Sc 0.7500 0.7500 0.7500  4 Hg 3.01, 4 Se 3.01
2 Sc 0.2500 0.2500 0.2500  4 Hg 3.01, 4 Se 3.01
3 Se 0.0000 0.0000 0.0000  8 Sc 3.01
4 Hg 0.5000 0.5000 0.5000  8 Sc 3.01

Properties
Mass density, g cm⁻³: 7.27
Energy relative to the lowest polymorph listed for this composition, meV per atom: 371
SG: No. 225
ΔE_f (raw), eV per formula unit: -2.42



Entry from Alexandria via LeMat-Bulk: crystalline Te5Rh4 at its relaxed geometry (PBE).

a b c (Å): 7.6976 7.6976 7.5776
angles (deg): 90.00 90.00 120.00
With the nearest neighbours (Å) after each atom.
Element x y z (fractional)
1 Te 0.7557 0.7557 0.7500  5 Rh 2.58-2.82
2 Te 0.2443 0.2443 0.2500  5 Rh 2.58-2.82
3 Rh 0.0000 0.4208 0.2500  3 Te 2.58-2.82
4 Te 0.3333 0.6667 0.0000  6 Rh 2.98
5 Rh 0.4208 0.0000 0.2500  3 Te 2.58-2.82
6 Te 0.3333 0.6667 0.5000  6 Rh 2.98
7 Rh 0.5792 0.0000 0.7500  3 Te 2.58-2.82
8 Te 0.0000 0.7557 0.2500  5 Rh 2.58-2.82
9 Rh 0.0000 0.0000 0.0000  6 Te 2.67
10 Te 0.0000 0.2443 0.7500  5 Rh 2.58-2.82
11 Rh 0.0000 0.5792 0.7500  3 Te 2.58-2.82
12 Te 0.7557 0.0000 0.2500  5 Rh 2.58-2.82
13 Te 0.2443 0.0000 0.7500  5 Rh 2.58-2.82
14 Rh 0.5792 0.5792 0.2500  3 Te 2.58-2.82
15 Rh 0.4208 0.4208 0.7500  3 Te 2.58-2.82
16 Rh 0.0000 0.0000 0.5000  6 Te 2.67
17 Te 0.6667 0.3333 0.5000  6 Rh 2.98
18 Te 0.6667 0.3333 0.0000  6 Rh 2.98

Properties
Mass density, g cm⁻³: 8.96
Energy relative to the lowest polymorph listed for this composition, meV per atom: 0
SG: No. 193
ΔE_f (raw), eV per formula unit: 0.13



Entry from Alexandria via LeMat-Bulk: crystalline NiPbBr at its relaxed geometry (PBE).

a b c (Å): 6.7067 6.3572 3.5919
angles (deg): 79.48 68.74 31.77
With the nearest neighbours (Å) after each atom.
Element x y z (fractional)
1 Ni 0.3381 0.3381 0.6619  2 Br 2.50, 2 Pb 2.60
2 Pb 0.7038 0.7038 0.2962  2 Ni 2.60
3 Br 0.9581 0.9581 0.0419  2 Ni 2.50

Properties
Mass density, g cm⁻³: 7.90
Energy relative to the lowest polymorph listed for this composition, meV per atom: 133
SG: No. 42
ΔE_f (raw), eV per formula unit: 0.25